DFT (PBE+U) results for an optimized crystal structure of VSIO2.

Results
The uncorrected energy comes out at -4.251 eV per atom.

Unit cell a=3.928 b=3.928 c=5.360 alpha=90.00 beta=90.00 gamma=90.00
Space group P4/mmm (No. 123)
Unique sites:
V1 0.000 0.000 0.000
S1 0.500 0.500 0.500
I1 0.500 0.500 0.000
O1 0.000 0.500 0.500